4
Lattice="5.153 0.000 0.000 2.577 4.463 0.000 2.577 1.488 4.208" Properties=species:S:1:pos:R:3 comment="PBEsol Ba2PRh, relaxed" formation_energy_kj_per_mol_atoms=-11.35 space_group=F-43m dos_at_fermi_per_ev_atom=0.19 magmom_total_mub_per_fu=0.00 pbc="T T T"
Rh 2.577 1.488 1.052
P 5.153 2.975 2.104
Ba 7.730 4.463 3.156
Ba 0.000 0.000 0.000